K3La2BiO6 | PBE | optimized geometry

Unit cell a=6.3856 b=11.0601 c=6.6581 alpha=90.00 beta=108.60 gamma=90.00
Closest atoms and distances in Å follow each position.
Space group C2/m (No. 12)
Unique sites:
K (0.0000, 0.0000, 0.0000)  6 O 2.86-2.87
K (0.0000, 0.3373, 0.0000)  6 O 2.84-2.89
La (0.0000, 0.1669, 0.5000)  6 O 2.46
Bi (0.0000, 0.5000, 0.5000)  6 O 2.46
O (0.2308, 0.0000, 0.6950)  2 La 2.46, 1 Bi 2.46
O (0.2321, 0.3329, 0.6953)  2 La 2.46, 1 Bi 2.46

Calculated values
E_form (uncorrected)   -2232 meV per atom
E   -6.13 eV/atom
Total moment   0.00 μB per formula unit



K2LaBiO4 | PBE | optimized geometry

Unit cell a=6.3314 b=3.6819 c=6.6581 alpha=90.00 beta=108.46 gamma=90.00
Closest atoms and distances in Å follow each position.
Space group P2/m (No. 10)
Unique sites:
K (0.0000, 0.0000, 0.0000)  6 O 2.84-2.86
K (0.5000, 0.5000, 0.0000)  6 O 2.84-2.87
La (0.0000, 0.5000, 0.5000)  6 O 2.45
Bi (0.5000, 0.0000, 0.5000)  6 O 2.44-2.47
O (0.2311, 0.0000, 0.6943)  1 Bi 2.44, 2 La 2.45
O (0.2654, 0.5000, 0.2999)  1 La 2.45, 2 Bi 2.47

Calculated values
E_form (uncorrected)   -2006 meV per atom
E   -5.86 eV/atom
Total moment   0.00 μB per formula unit



> Number 2 is which compound?

K2LaBiO4



> Which of these has the lowest E?

K3La2BiO6